No. 1
Density functional theory data (PBE-GGA) for a geometry-optimized NaTc2AgO structure.

## Properties
The density of states at the Fermi level is 4.81 states/eV per cell.

Cell lengths 4.0148, 4.0148, 4.6820 Å; angles 90.00, 90.00, 90.00 degrees
Last column: nearest neighbours and their distance in Å.
Fractional positions:
Na 0.0000 0.0000 0.0000  2 O 2.34
Tc 0.0000 0.5000 0.5000  2 O 2.01
Tc 0.5000 0.0000 0.5000  2 O 2.01
Ag 0.5000 0.5000 0.0000  4 Na 2.84, 8 Tc 3.08
O 0.0000 0.0000 0.5000  4 Tc 2.01


No. 2
Density functional theory data (PBE-GGA) for a geometry-optimized NaAgTe2O8 structure.

## Properties
The density of states at the Fermi level is 0.24 states/eV per cell.

Cell lengths 5.9527, 5.9527, 6.2932 Å; angles 90.00, 90.00, 120.00 degrees
Last column: nearest neighbours and their distance in Å.
Fractional positions:
Na 0.0000 0.0000 0.0000  6 O 3.11, 2 Ag 3.15
Ag 0.0000 0.0000 0.5000  6 O 2.23
Te 0.3333 0.6667 0.4586  4 O 1.83-1.95
Te 0.6667 0.3333 0.5414  4 O 1.83-1.95
O 0.0774 0.3802 0.6319  1 Te 1.95
O 0.3028 0.9226 0.6319  1 Te 1.95
O 0.3333 0.6667 0.1675  1 Te 1.83
O 0.3802 0.3028 0.3681  1 Te 1.95
O 0.6198 0.6972 0.6319  1 Te 1.95
O 0.6667 0.3333 0.8325  1 Te 1.83
O 0.6972 0.0774 0.3681  1 Te 1.95
O 0.9226 0.6198 0.3681  1 Te 1.95


No. 3
Density functional theory data (PBE-GGA) for a geometry-optimized Na3Ag2TeO6 structure.

## Properties
The density of states at the Fermi level is 4.43 states/eV per cell.

Cell lengths 5.7882, 5.7882, 5.9164 Å; angles 103.28, 103.28, 115.21 degrees
Last column: nearest neighbours and their distance in Å.
Fractional positions:
Na 0.0000 0.0000 0.0000  4 O 2.32
Na 0.3284 0.6716 0.0000  6 O 2.39-2.60
Na 0.6716 0.3284 0.0000  6 O 2.39-2.60
Ag 0.1675 0.8325 0.5000  4 O 2.33
Ag 0.8325 0.1675 0.5000  4 O 2.33
Te 0.5000 0.5000 0.5000  6 O 1.97-2.00
O 0.1604 0.4447 0.2666  1 Te 1.97
O 0.2912 0.2912 0.6798  1 Te 2.00
O 0.4447 0.1604 0.2666  1 Te 1.97
O 0.5553 0.8396 0.7334  1 Te 1.97
O 0.7088 0.7088 0.3202  1 Te 2.00
O 0.8396 0.5553 0.7334  1 Te 1.97


No. 4
Density functional theory data (PBE-GGA) for a geometry-optimized Na2AgTeO4 structure.

## Properties
The density of states at the Fermi level is 2.54 states/eV per cell.

Cell lengths 7.0442, 7.0442, 7.0442 Å; angles 124.69, 123.92, 82.69 degrees
Last column: nearest neighbours and their distance in Å.
Fractional positions:
Na 0.0000 0.0000 0.0000  4 O 2.49
Na 0.5000 0.0000 0.0000  6 O 2.42-2.58
Na 0.5000 0.0000 0.5000  4 O 2.49
Na 0.5000 0.5000 0.5000  6 O 2.42-2.58
Ag 0.0000 0.0000 0.5000  4 O 2.41
Ag 0.0000 0.5000 0.0000  4 O 2.41
Te 0.0000 0.5000 0.5000  6 O 2.00-2.18
Te 0.5000 0.5000 0.0000  6 O 2.00-2.18
O 0.1883 0.6891 0.4992  1 Te 2.00
O 0.2570 0.2906 0.5336  2 Te 2.18
O 0.2570 0.7234 0.9664  2 Te 2.18
O 0.3101 0.3109 0.9992  1 Te 2.00
O 0.6899 0.6891 0.0008  1 Te 2.00
O 0.7430 0.2766 0.0336  2 Te 2.18
O 0.7430 0.7094 0.4664  2 Te 2.18
O 0.8117 0.3109 0.5008  1 Te 2.00


No. 5
Density functional theory data (PBE-GGA) for a geometry-optimized Na2Ti3AgO8 structure.

## Properties
The density of states at the Fermi level is 2.29 states/eV per cell.

Cell lengths 6.5769, 6.5769, 6.5769 Å; angles 54.94, 54.94, 54.94 degrees
Last column: nearest neighbours and their distance in Å.
Fractional positions:
Na 0.0000 0.0000 0.0000  4 O 2.25-2.32
Na 0.3678 0.3678 0.3678  6 O 2.31-2.36
Ti 0.3689 0.3689 0.8775  6 O 1.92-2.07
Ti 0.3689 0.8775 0.3689  6 O 1.92-2.07
Ti 0.8775 0.3689 0.3689  6 O 1.92-2.07
Ag 0.7465 0.7465 0.7465  4 O 2.20-2.42
O 0.1119 0.1119 0.5642  2 Ti 1.92
O 0.1119 0.5642 0.1119  2 Ti 1.92
O 0.1391 0.1391 0.1391  3 Ti 2.04
O 0.1793 0.6176 0.6176  2 Ti 2.01, 1 Ag 2.20
O 0.5642 0.1119 0.1119  2 Ti 1.92
O 0.6017 0.6017 0.6017  3 Ti 2.07
O 0.6176 0.1793 0.6176  2 Ti 2.01, 1 Ag 2.20
O 0.6176 0.6176 0.1793  2 Ti 2.01, 1 Ag 2.20


No. 6
Density functional theory data (PBE-GGA) for a geometry-optimized NaTlAgO2 structure.

## Properties
The density of states at the Fermi level is 2.98 states/eV per cell.

Cell lengths 5.9482, 5.3185, 6.5672 Å; angles 90.00, 102.36, 90.00 degrees
Last column: nearest neighbours and their distance in Å.
Fractional positions:
Na 0.0000 0.0978 0.2500  4 O 2.43-2.61
Na 0.0000 0.9022 0.7500  4 O 2.43-2.61
Tl 0.5000 0.0750 0.7500  2 O 2.23
Tl 0.5000 0.9250 0.2500  2 O 2.23
Ag 0.5000 0.5000 0.0000  2 O 2.22
Ag 0.5000 0.5000 0.5000  2 O 2.22
O 0.2700 0.1791 0.0275  1 Ag 2.22, 1 Tl 2.23, 1 Na 2.43
O 0.2700 0.8209 0.5275  1 Ag 2.22, 1 Tl 2.23, 1 Na 2.43
O 0.7300 0.1791 0.4725  1 Ag 2.22, 1 Tl 2.23, 1 Na 2.43
O 0.7300 0.8209 0.9725  1 Ag 2.22, 1 Tl 2.23, 1 Na 2.43


No. 7
Density functional theory data (PBE-GGA) for a geometry-optimized Na3Tl2AgO6 structure.

## Properties
The density of states at the Fermi level is 2.08 states/eV per cell.

Cell lengths 5.9355, 5.9355, 5.7761 Å; angles 98.19, 98.19, 122.02 degrees
Last column: nearest neighbours and their distance in Å.
Fractional positions:
Na 0.0000 0.0000 0.0000  6 O 2.47-2.60
Na 0.3369 0.6631 0.0000  6 O 2.41-2.49
Na 0.6631 0.3369 0.0000  6 O 2.41-2.49
Tl 0.1712 0.8288 0.5000  6 O 2.22-2.43
Tl 0.8288 0.1712 0.5000  6 O 2.22-2.43
Ag 0.5000 0.5000 0.5000  2 O 2.04
O 0.0796 0.4137 0.2670  2 Tl 2.22-2.37, 1 Ag 2.41, 2 Na 2.41-2.47
O 0.2686 0.2686 0.7086  1 Ag 2.04
O 0.4137 0.0796 0.2670  2 Tl 2.22-2.37, 1 Ag 2.41, 2 Na 2.41-2.47
O 0.5863 0.9204 0.7330  2 Tl 2.22-2.37, 1 Ag 2.41, 2 Na 2.41-2.47
O 0.7314 0.7314 0.2914  1 Ag 2.04
O 0.9204 0.5863 0.7330  2 Tl 2.22-2.37, 1 Ag 2.41, 2 Na 2.41-2.47


No. 8
Density functional theory data (PBE-GGA) for a geometry-optimized NaUAg2O6 structure.

## Properties
The density of states at the Fermi level is 4.38 states/eV per cell.

Cell lengths 5.4993, 5.6792, 6.0592 Å; angles 62.52, 70.56, 63.08 degrees
Last column: nearest neighbours and their distance in Å.
Fractional positions:
Na 0.0000 0.0000 0.0000  4 O 2.34-2.46
U 0.5243 0.5070 0.4440  6 O 2.00-2.24
Ag 0.2104 0.1755 0.4020  4 O 2.06-2.11
Ag 0.7341 0.6944 0.8645  4 O 2.18-2.26
O 0.1729 0.7827 0.6079  1 Ag 2.06, 1 U 2.14
O 0.2931 0.5482 0.2166  1 U 2.04, 1 Ag 2.07
O 0.4532 0.1081 0.6469  2 Ag 2.11-2.20, 1 U 2.17
O 0.6052 0.8599 0.1634  1 U 2.07, 1 Ag 2.19
O 0.7590 0.4371 0.6748  1 U 2.00, 1 Ag 2.18
O 0.8930 0.3067 0.2034  2 Ag 2.11-2.26, 1 U 2.24, 1 Na 2.34


No. 9
Density functional theory data (PBE-GGA) for a geometry-optimized NaU2AgO8 structure.

## Properties
The density of states at the Fermi level is 2.07 states/eV per cell.

Cell lengths 6.0025, 6.0025, 6.3125 Å; angles 90.00, 90.00, 120.00 degrees
Last column: nearest neighbours and their distance in Å.
Fractional positions:
Na 0.0000 0.0000 0.0000  6 O 3.08, 2 Ag 3.16
U 0.3333 0.6667 0.4211  1 O 1.86
U 0.6667 0.3333 0.5789  1 O 1.86
Ag 0.0000 0.0000 0.5000  6 O 2.25
O 0.0593 0.3709 0.6382  2 U 2.19-2.28, 1 Ag 2.25
O 0.3116 0.9407 0.6382  2 U 2.19-2.28, 1 Ag 2.25
O 0.3333 0.6667 0.1269  1 U 1.86
O 0.3709 0.3116 0.3618  2 U 2.19-2.28, 1 Ag 2.25
O 0.6291 0.6884 0.6382  2 U 2.19-2.28, 1 Ag 2.25
O 0.6667 0.3333 0.8731  1 U 1.86
O 0.6884 0.0593 0.3618  2 U 2.19-2.28, 1 Ag 2.25
O 0.9407 0.6291 0.3618  2 U 2.19-2.28, 1 Ag 2.25


Formation energy from raw total energies? In order: 58 -605 -1213 -767 -3080 -269 -1022 -1392 -2331 kJ/mol of formula units.